This record from the Alexandria database describes ReAsIO2 after structural relaxation. The functional is PBE.

Calculated values
Formation energy from raw total energies ... -1.31 eV/f.u.
Density of states at the Fermi level ... 1.9 states/eV/f.u.
Energy relative to the lowest polymorph listed for this composition ... 0 meV per atom

Cell and atoms, written as POSCAR:
```
ReAsIO2
1.0
-2.713 0.335 -2.729
-2.717 -0.909 2.590
-0.663 5.937 1.389
I As O Re
1 1 2 1
Direct
0.000 0.000 0.500
0.500 0.500 0.500
0.500 0.000 0.000
0.000 0.500 0.000
0.000 0.000 0.000
```

***

This record from the Alexandria database describes CsIn2CuSe4 after structural relaxation. The functional is PBE.

Calculated values
Formation energy from raw total energies ... -3.89 eV/f.u.
Density of states at the Fermi level ... 4.3 states/eV/f.u.

Cell and atoms, written as POSCAR:
```
CsIn2CuSe4
1.0
6.472 0.000 0.000
3.236 6.789 1.860
3.236 2.410 6.614
In Se Cu Cs
2 4 1 1
Direct
0.750 0.750 0.750
0.250 0.250 0.250
0.549 0.451 0.832
0.832 0.549 0.168
0.451 0.168 0.549
0.168 0.832 0.451
0.500 0.500 0.500
0.000 0.000 0.000
```

***

This record from the Alexandria database describes LaSi after structural relaxation. The functional is PBE.

Calculated values
Formation energy from raw total energies ... -1.32 eV/f.u.
Density of states at the Fermi level ... 1.4 states/eV/f.u.

Cell and atoms, written as POSCAR:
```
LaSi
1.0
-7.753 16.579 0.803
-3.378 -1.500 -1.647
-1.595 -0.946 4.132
Si La
6 6
Direct
0.000 0.000 0.500
0.291 0.000 0.000
0.791 0.500 0.000
0.209 0.500 0.000
0.500 0.500 0.500
0.709 0.000 0.000
0.000 0.500 0.000
0.662 0.500 0.500
0.500 0.000 0.000
0.338 0.500 0.500
0.162 0.000 0.500
0.838 0.000 0.500
```

***

Total moment: 0.00 0.00 0.00 (μB per atom)